# Nd2Co3As4Rh

An optimized crystal structure of Nd2Co3As4Rh (GGA-PBE, Alexandria via LeMat-Bulk).

Structure (POSCAR):
```
Nd2Co3As4Rh
1.0
4.2013 0.0000 0.0000
0.0000 4.2013 0.0000
0.0000 0.0000 9.5572
As Nd Co Rh
4 2 3 1
Direct
0.5000 0.0000 0.6409
0.5000 0.5000 0.0000
0.0000 0.5000 0.3591
0.0000 0.0000 0.0000
0.5000 0.0000 0.2437
0.0000 0.5000 0.7563
0.5000 0.0000 0.8878
0.0000 0.0000 0.5000
0.0000 0.5000 0.1122
0.5000 0.5000 0.5000
```

Summary:
Energy relative to the elements = -797 meV/atom
Energy = -6.48 eV per atom

---

# NdCoAs2Ru

An optimized crystal structure of NdCoAs2Ru (GGA-PBE, Alexandria via LeMat-Bulk).

Structure (POSCAR):
```
NdCoAs2Ru
1.0
3.9955 0.0000 0.0000
0.0000 3.9955 0.0000
-1.9978 -1.9978 5.6407
Ru As Co Nd
1 2 1 1
Direct
0.2500 0.7500 0.5000
0.6328 0.6328 0.2656
0.3672 0.3672 0.7344
0.7500 0.2500 0.5000
0.0000 0.0000 0.0000
```

Summary:
Energy relative to the elements = -692 meV/atom
Energy = -6.78 eV per atom

---

# Nd2Co3As4Ru

An optimized crystal structure of Nd2Co3As4Ru (GGA-PBE, Alexandria via LeMat-Bulk).

Structure (POSCAR):
```
Nd2Co3As4Ru
1.0
-1.5386 2.9743 2.4962
-3.1788 -2.5068 1.0276
5.1317 -3.5007 7.3344
As Nd Co Ru
4 2 3 1
Direct
0.5000 0.0000 0.6389
0.5000 0.5000 0.0000
0.0000 0.5000 0.3611
0.0000 0.0000 0.0000
0.5000 0.0000 0.2418
0.0000 0.5000 0.7582
0.5000 0.0000 0.8861
0.0000 0.5000 0.1139
0.0000 0.0000 0.5000
0.5000 0.5000 0.5000
```

Summary:
Energy relative to the elements = -744 meV/atom
Energy = -6.62 eV per atom

---

# CoNi2As2

An optimized crystal structure of CoNi2As2 (GGA-PBE, Alexandria via LeMat-Bulk).

Structure (POSCAR):
```
CoNi2As2
1.0
-2.9372 4.0046 3.8360
3.4564 -2.0725 4.8101
2.3166 2.3314 -0.6601
Ni Co As
4 2 4
Direct
0.1425 0.6425 0.5000
0.3575 0.1425 0.5000
0.8575 0.3575 0.5000
0.6425 0.8575 0.5000
0.0000 0.0000 0.0000
0.5000 0.5000 0.0000
0.6573 0.1573 0.0000
0.1573 0.3427 0.0000
0.8427 0.6573 0.0000
0.3427 0.8427 0.0000
```

Summary:
Energy relative to the elements = -12 meV/atom
Energy = -5.61 eV per atom

---

# CoNi2As4

An optimized crystal structure of CoNi2As4 (GGA-PBE, Alexandria via LeMat-Bulk).

Structure (POSCAR):
```
CoNi2As4
1.0
-0.8733 -3.5141 2.7887
4.3661 -1.3187 -0.2945
3.0586 0.9024 5.8401
As Ni Co
4 2 1
Direct
0.0000 0.5000 0.0000
0.5000 0.0000 0.0000
0.7931 0.7931 0.4139
0.2069 0.2069 0.5861
0.6034 0.6034 0.7932
0.3966 0.3966 0.2068
0.0000 0.0000 0.0000
```

Summary:
Energy relative to the elements = 269 meV/atom
Energy = -5.05 eV per atom

---

# Co2NiAs8

An optimized crystal structure of Co2NiAs8 (GGA-PBE, Alexandria via LeMat-Bulk).

Structure (POSCAR):
```
Co2NiAs8
1.0
-3.8445 -1.0332 1.5893
-1.2110 -4.5868 -5.9612
4.4691 -2.2348 5.6810
Co As Ni
2 8 1
Direct
0.3700 0.3405 0.6811
0.6300 0.6595 0.3189
0.3097 0.1287 0.8207
0.3486 0.1682 0.3370
0.6902 0.3075 0.1782
0.9027 0.4024 0.8038
0.6514 0.8318 0.6629
0.6903 0.8713 0.1793
0.3098 0.6925 0.8218
0.0973 0.5976 0.1962
0.0000 0.0000 0.0000
```

Summary:
Energy relative to the elements = 43 meV/atom
Energy = -5.16 eV per atom

---

# CoNi2As8

An optimized crystal structure of CoNi2As8 (GGA-PBE, Alexandria via LeMat-Bulk).

Structure (POSCAR):
```
CoNi2As8
1.0
-4.2542 0.4260 -1.9401
-1.2908 -7.3514 2.2502
-1.4976 5.3446 3.9151
As Ni Co
8 2 1
Direct
0.7597 0.4236 0.8306
0.2403 0.5764 0.1694
0.3046 0.1689 0.3368
0.7016 0.2828 0.1561
0.6605 0.8817 0.1738
0.3395 0.1183 0.8262
0.2984 0.7172 0.8439
0.6954 0.8311 0.6632
0.7505 0.6290 0.2576
0.2495 0.3710 0.7424
0.0000 0.0000 0.0000
```

Summary:
Energy relative to the elements = -10 meV/atom
Energy = -5.09 eV per atom

---

# CoNiAs2

An optimized crystal structure of CoNiAs2 (GGA-PBE, Alexandria via LeMat-Bulk).

Structure (POSCAR):
```
CoNiAs2
1.0
-0.5384 0.0801 3.2288
-2.0109 -2.7311 -0.2676
3.9243 -2.9608 0.7278
Co Ni As
1 1 2
Direct
0.0000 0.0000 0.4579
0.5000 0.5000 0.7933
0.5000 0.5000 0.3168
0.0000 0.0000 0.9320
```

Summary:
Energy relative to the elements = -87 meV/atom
Energy = -5.63 eV per atom

---

# CoNiAs2

An optimized crystal structure of CoNiAs2 (GGA-PBE, Alexandria via LeMat-Bulk).

Structure (POSCAR):
```
CoNiAs2
1.0
5.4982 0.0000 0.0000
0.0000 5.4982 0.0000
2.7491 2.7491 4.7962
Co As Ni
2 4 2
Direct
0.2500 0.7500 0.5000
0.5000 0.5000 0.0000
0.6179 0.1250 0.2500
0.3750 0.3821 0.7500
0.1321 0.6250 0.2500
0.8750 0.8679 0.7500
0.7500 0.2500 0.5000
0.0000 0.0000 0.0000
```

Summary:
Energy relative to the elements = 64 meV/atom
Energy = -5.48 eV per atom

---

# CoNiAs2

An optimized crystal structure of CoNiAs2 (GGA-PBE, Alexandria via LeMat-Bulk).

Structure (POSCAR):
```
CoNiAs2
1.0
4.3215 0.0000 0.0000
2.1607 3.7425 0.0000
2.1607 1.2475 3.5285
Co As Ni
1 2 1
Direct
0.5000 0.5000 0.5000
0.2500 0.2500 0.2500
0.0000 0.0000 0.0000
0.7500 0.7500 0.7500
```

Summary:
Energy relative to the elements = 423 meV/atom
Energy = -5.12 eV per atom

---

# CoNiAs2

An optimized crystal structure of CoNiAs2 (GGA-PBE, Alexandria via LeMat-Bulk).

Structure (POSCAR):
```
CoNiAs2
1.0
-7.1057 1.6604 0.6850
-7.0676 0.2203 -1.9282
-7.1820 -1.3220 0.6237
Co As Ni
1 2 1
Direct
0.2500 0.2500 0.2500
0.9985 0.9985 0.9985
0.5015 0.5015 0.5015
0.7500 0.7500 0.7500
```

Summary:
Energy relative to the elements = -1 meV/atom
Energy = -5.55 eV per atom

---

# CoNiAs2

An optimized crystal structure of CoNiAs2 (GGA-PBE, Alexandria via LeMat-Bulk).

Structure (POSCAR):
```
CoNiAs2
1.0
0.0000 2.9948 2.9948
2.9948 0.0000 2.9948
2.9948 2.9948 0.0000
As Ni Co
2 1 1
Direct
0.2500 0.2500 0.2500
0.7500 0.7500 0.7500
0.5000 0.5000 0.5000
0.0000 0.0000 0.0000
```

Summary:
Energy relative to the elements = 73 meV/atom
Energy = -5.47 eV per atom

---

# CoNi3As2

An optimized crystal structure of CoNi3As2 (GGA-PBE, Alexandria via LeMat-Bulk).

Structure (POSCAR):
```
CoNi3As2
1.0
-3.1063 3.2268 2.4360
1.9132 -1.5526 4.4962
4.6578 3.2988 -3.7660
Ni As Co
6 4 2
Direct
0.5000 0.7500 0.0000
0.5000 0.2500 0.0000
0.9129 0.1696 0.3392
0.0871 0.8304 0.6608
0.4264 0.6696 0.3392
0.5736 0.3304 0.6608
0.8917 0.6322 0.2643
0.6274 0.8678 0.7357
0.3726 0.1322 0.2643
0.1083 0.3678 0.7357
0.0000 0.7500 0.0000
0.0000 0.2500 0.0000
```

Summary:
Energy relative to the elements = -235 meV/atom
Energy = -5.86 eV per atom

---

# CoNiAs2

An optimized crystal structure of CoNiAs2 (GGA-PBE, Alexandria via LeMat-Bulk).

Structure (POSCAR):
```
CoNiAs2
1.0
9.0071 0.1365 0.0805
8.4894 3.0127 0.0805
8.4894 1.5280 2.5977
As Co Ni
2 1 1
Direct
0.0262 0.0262 0.0262
0.2233 0.2233 0.2233
0.4954 0.4954 0.4954
0.7550 0.7550 0.7550
```

Summary:
Energy relative to the elements = 136 meV/atom
Energy = -5.41 eV per atom

---

# CoNiAs2

An optimized crystal structure of CoNiAs2 (GGA-PBE, Alexandria via LeMat-Bulk).

Structure (POSCAR):
```
CoNiAs2
1.0
-0.2499 -3.8061 3.1934
-2.5614 -4.0678 -1.2800
3.4882 2.9460 -1.9748
Co As Ni
1 2 1
Direct
0.5000 0.5000 0.0000
0.2500 0.7500 0.5000
0.0000 0.0000 0.0000
0.7500 0.2500 0.5000
```

Summary:
Energy relative to the elements = 127 meV/atom
Energy = -5.42 eV per atom

---

# CoNiAs

An optimized crystal structure of CoNiAs (GGA-PBE, Alexandria via LeMat-Bulk).

Structure (POSCAR):
```
CoNiAs
1.0
-0.5320 3.7791 0.5515
-1.8591 -2.5520 2.2135
2.1990 0.0343 1.8864
Ni Co As
1 1 1
Direct
0.3333 0.6667 0.7312
0.6667 0.3333 0.2370
0.0000 0.0000 0.0317
```

Summary:
Energy relative to the elements = -61 meV/atom
Energy = -5.91 eV per atom

---

# CoNi2As2

An optimized crystal structure of CoNi2As2 (GGA-PBE, Alexandria via LeMat-Bulk).

Structure (POSCAR):
```
CoNi2As2
1.0
6.6166 0.0000 0.0000
0.0000 6.6166 0.0000
0.0000 0.0000 3.0444
As Co Ni
4 2 4
Direct
0.8255 0.3255 0.5000
0.1745 0.6745 0.5000
0.3255 0.1745 0.5000
0.6745 0.8255 0.5000
0.0000 0.0000 0.0000
0.5000 0.5000 0.0000
0.1303 0.3697 0.0000
0.8697 0.6303 0.0000
0.3697 0.8697 0.0000
0.6303 0.1303 0.0000
```

Summary:
Energy relative to the elements = 94 meV/atom
Energy = -5.50 eV per atom

---

# CoNiAs

An optimized crystal structure of CoNiAs (GGA-PBE, Alexandria via LeMat-Bulk).

Structure (POSCAR):
```
CoNiAs
1.0
6.0989 0.0000 0.0000
-3.0495 5.2812 0.0000
0.0000 0.0000 3.4169
Ni Co As
3 3 3
Direct
0.7390 0.0000 0.0000
0.0000 0.7391 0.0000
0.2609 0.2609 0.0000
0.3930 0.0000 0.5000
0.0001 0.3931 0.5000
0.6070 0.6069 0.5000
0.0000 0.0000 0.5000
0.3333 0.6667 0.0000
0.6667 0.3333 0.0000
```

Summary:
Energy relative to the elements = -172 meV/atom
Energy = -6.02 eV per atom

---

# CoNiAs2

An optimized crystal structure of CoNiAs2 (GGA-PBE, Alexandria via LeMat-Bulk).

Structure (POSCAR):
```
CoNiAs2
1.0
6.4125 0.0020 0.0027
4.6568 4.4085 -0.0027
-5.2569 -2.9023 2.2499
Ni As Co
1 2 1
Direct
0.1931 0.6931 0.5000
0.7417 0.2417 0.5000
0.0028 0.0028 0.0000
0.5623 0.5623 0.0000
```

Summary:
Energy relative to the elements = 3 meV/atom
Energy = -5.54 eV per atom

---

# CoNi2As6

An optimized crystal structure of CoNi2As6 (GGA-PBE, Alexandria via LeMat-Bulk).

Structure (POSCAR):
```
CoNi2As6
1.0
-0.5429 -2.4714 -3.8696
5.5567 -2.3776 0.7388
-4.8435 -2.7638 2.4448
Ni As Co
2 6 1
Direct
0.5000 0.3333 0.6667
0.5000 0.6667 0.3333
0.2189 0.0000 0.6456
0.7811 0.0000 0.3544
0.2189 0.3544 0.3544
0.2189 0.6456 0.0000
0.7811 0.6456 0.6456
0.7811 0.3544 0.0000
0.0000 0.0000 0.0000
```

Summary:
Energy relative to the elements = -187 meV/atom
Energy = -5.36 eV per atom

---

# CoNiAs2

An optimized crystal structure of CoNiAs2 (GGA-PBE, Alexandria via LeMat-Bulk).

Structure (POSCAR):
```
CoNiAs2
1.0
3.9863 0.0011 -0.0048
2.8724 2.7641 -0.0048
1.0880 0.4386 4.9834
As Ni Co
2 1 1
Direct
0.0038 0.0038 0.9939
0.4962 0.4962 0.5061
0.2500 0.2500 0.2500
0.7500 0.7500 0.7500
```

Summary:
Energy relative to the elements = 6 meV/atom
Energy = -5.54 eV per atom

---

# CoNi2As4

An optimized crystal structure of CoNi2As4 (GGA-PBE, Alexandria via LeMat-Bulk).

Structure (POSCAR):
```
CoNi2As4
1.0
-0.5688 -3.4958 -0.6827
4.0078 -1.4861 4.2704
-5.4602 2.4834 1.3617
As Ni Co
4 2 1
Direct
0.8938 0.2429 0.7877
0.6307 0.2865 0.2615
0.3693 0.7135 0.7385
0.1062 0.7571 0.2123
0.2634 0.2412 0.5268
0.7366 0.7588 0.4732
0.0000 0.0000 0.0000
```

Summary:
Energy relative to the elements = -252 meV/atom
Energy = -5.58 eV per atom

---

# Co2NiAs2

An optimized crystal structure of Co2NiAs2 (GGA-PBE, Alexandria via LeMat-Bulk).

Structure (POSCAR):
```
Co2NiAs2
1.0
6.5923 0.0000 0.0000
0.0000 6.5923 0.0000
0.0000 0.0000 2.9232
As Co Ni
4 4 2
Direct
0.8422 0.6578 0.0000
0.6578 0.1578 0.0000
0.3422 0.8422 0.0000
0.1578 0.3422 0.0000
0.6378 0.8622 0.5000
0.3622 0.1378 0.5000
0.1378 0.6378 0.5000
0.8622 0.3622 0.5000
0.0000 0.0000 0.0000
0.5000 0.5000 0.0000
```

Summary:
Energy relative to the elements = -16 meV/atom
Energy = -5.87 eV per atom

---

# CoNiAs2

An optimized crystal structure of CoNiAs2 (GGA-PBE, Alexandria via LeMat-Bulk).

Structure (POSCAR):
```
CoNiAs2
1.0
-1.2173 3.7306 -1.4504
-2.2757 1.5789 -3.1355
-5.5251 0.9838 2.2142
As Ni Co
2 1 1
Direct
0.7397 0.7397 0.6155
0.0113 0.0113 0.1387
0.2625 0.2625 0.2625
0.4865 0.4865 0.4832
```

Summary:
Energy relative to the elements = -97 meV/atom
Energy = -5.64 eV per atom

---

# CoNiAs

An optimized crystal structure of CoNiAs (GGA-PBE, Alexandria via LeMat-Bulk).

Structure (POSCAR):
```
CoNiAs
1.0
-0.9214 0.7726 2.5429
-1.8408 -0.6300 -2.0313
0.0266 -5.3416 1.6325
Co Ni As
1 1 1
Direct
0.6667 0.3333 0.3239
0.3333 0.6667 0.6719
0.0000 0.0000 0.0042
```

Summary:
Energy relative to the elements = 162 meV/atom
Energy = -5.68 eV per atom

---

# CoNi2As2

An optimized crystal structure of CoNi2As2 (GGA-PBE, Alexandria via LeMat-Bulk).

Structure (POSCAR):
```
CoNi2As2
1.0
3.8558 0.0000 0.0000
0.0000 3.8558 0.0000
1.9279 1.9279 5.1006
Ni Co As
2 1 2
Direct
0.3859 0.3859 0.2283
0.6141 0.6141 0.7717
0.0000 0.0000 0.0000
0.7500 0.2500 0.5000
0.2500 0.7500 0.5000
```

Summary:
Energy relative to the elements = 429 meV/atom
Energy = -5.16 eV per atom